a | # Pr3Pa

A relaxed structure of Pr3Pa (PBE, the Alexandria database).

```
data_Pr3Pa
_chemical_formula_sum 'Pr3 Pa1'
_cell_length_a 3.5143
_cell_length_b 6.2082
_cell_length_c 6.9549
_cell_angle_alpha 116.51
_cell_angle_beta 104.63
_cell_angle_gamma 90.00
_symmetry_space_group_name_H-M 'P 1'
_symmetry_Int_Tables_number 1
loop_
_symmetry_equiv_pos_as_xyz
'x,y,z'
loop_
_atom_site_label
_atom_site_type_symbol
_atom_site_fract_x
_atom_site_fract_y
_atom_site_fract_z
_atom_site_occupancy
Pr1 Pr 0.2668 0.6250 0.5336 1
Pr2 Pr 0.5000 0.4677 0.0000 1
Pr3 Pr 0.7332 0.0914 0.4664 1
Pa1 Pa 0.0000 0.9826 0.0000 1
```



b | # Pr3Pa

A relaxed structure of Pr3Pa (PBE, the Alexandria database).

```
data_Pr3Pa
_chemical_formula_sum 'Pr3 Pa1'
_cell_length_a 5.9155
_cell_length_b 3.4884
_cell_length_c 6.3308
_cell_angle_alpha 90.00
_cell_angle_beta 90.00
_cell_angle_gamma 90.00
_symmetry_space_group_name_H-M 'P 1'
_symmetry_Int_Tables_number 1
loop_
_symmetry_equiv_pos_as_xyz
'x,y,z'
loop_
_atom_site_label
_atom_site_type_symbol
_atom_site_fract_x
_atom_site_fract_y
_atom_site_fract_z
_atom_site_occupancy
Pr1 Pr 0.0000 0.5000 0.4747 1
Pr2 Pr 0.5000 0.5000 0.1738 1
Pr3 Pr 0.5000 0.0000 0.6977 1
Pa1 Pa 0.0000 0.0000 0.9872 1
```



c | # Pr3Pa

A relaxed structure of Pr3Pa (PBE, the Alexandria database).

```
data_Pr3Pa
_chemical_formula_sum 'Pr6 Pa2'
_cell_length_a 7.1813
_cell_length_b 7.1813
_cell_length_c 5.9025
_cell_angle_alpha 90.00
_cell_angle_beta 90.00
_cell_angle_gamma 120.00
_symmetry_space_group_name_H-M 'P 1'
_symmetry_Int_Tables_number 1
loop_
_symmetry_equiv_pos_as_xyz
'x,y,z'
loop_
_atom_site_label
_atom_site_type_symbol
_atom_site_fract_x
_atom_site_fract_y
_atom_site_fract_z
_atom_site_occupancy
Pr1 Pr 0.8297 0.1703 0.7500 1
Pr2 Pr 0.3406 0.1703 0.7500 1
Pr3 Pr 0.8297 0.6594 0.7500 1
Pr4 Pr 0.1703 0.8297 0.2500 1
Pr5 Pr 0.6594 0.8297 0.2500 1
Pr6 Pr 0.1703 0.3406 0.2500 1
Pa1 Pa 0.6667 0.3333 0.2500 1
Pa2 Pa 0.3333 0.6667 0.7500 1
```



Which structure wins on stability? a wins.



a | # PrPaPt

A relaxed structure of PrPaPt (PBE, the Alexandria database).

```
data_PrPaPt
_chemical_formula_sum 'Pr2 Pa2 Pt2'
_cell_length_a 4.3584
_cell_length_b 4.3584
_cell_length_c 8.0994
_cell_angle_alpha 90.00
_cell_angle_beta 90.00
_cell_angle_gamma 90.00
_symmetry_space_group_name_H-M 'P 1'
_symmetry_Int_Tables_number 1
loop_
_symmetry_equiv_pos_as_xyz
'x,y,z'
loop_
_atom_site_label
_atom_site_type_symbol
_atom_site_fract_x
_atom_site_fract_y
_atom_site_fract_z
_atom_site_occupancy
Pr1 Pr 0.0000 0.5000 0.8665 1
Pr2 Pr 0.5000 0.0000 0.1335 1
Pt1 Pt 0.0000 0.5000 0.2389 1
Pt2 Pt 0.5000 0.0000 0.7611 1
Pa1 Pa 0.5000 0.5000 0.5000 1
Pa2 Pa 0.0000 0.0000 0.5000 1
```



b | # PrPaPt

A relaxed structure of PrPaPt (PBE, the Alexandria database).

```
data_PrPaPt
_chemical_formula_sum 'Pr1 Pa1 Pt1'
_cell_length_a 4.4022
_cell_length_b 4.6806
_cell_length_c 4.6806
_cell_angle_alpha 120.00
_cell_angle_beta 90.00
_cell_angle_gamma 90.00
_symmetry_space_group_name_H-M 'P 1'
_symmetry_Int_Tables_number 1
loop_
_symmetry_equiv_pos_as_xyz
'x,y,z'
loop_
_atom_site_label
_atom_site_type_symbol
_atom_site_fract_x
_atom_site_fract_y
_atom_site_fract_z
_atom_site_occupancy
Pr1 Pr 0.6667 0.6667 0.3333 1
Pa1 Pa 0.1668 0.3333 0.6667 1
Pt1 Pt 0.1665 0.0000 0.0000 1
```



Which structure wins on stability? a wins.



a | # PrPu2Pa

A relaxed structure of PrPu2Pa (PBE, the Alexandria database).

```
data_PrPu2Pa
_chemical_formula_sum 'Pr1 Pu2 Pa1'
_cell_length_a 3.9677
_cell_length_b 3.9677
_cell_length_c 9.3131
_cell_angle_alpha 77.70
_cell_angle_beta 77.70
_cell_angle_gamma 60.00
_symmetry_space_group_name_H-M 'P 1'
_symmetry_Int_Tables_number 1
loop_
_symmetry_equiv_pos_as_xyz
'x,y,z'
loop_
_atom_site_label
_atom_site_type_symbol
_atom_site_fract_x
_atom_site_fract_y
_atom_site_fract_z
_atom_site_occupancy
Pr1 Pr 0.0000 0.0000 0.0000 1
Pa1 Pa 0.5000 0.5000 0.5000 1
Pu1 Pu 0.1139 0.1139 0.6584 1
Pu2 Pu 0.8861 0.8861 0.3416 1
```



b | # PrPu2Pa

A relaxed structure of PrPu2Pa (PBE, the Alexandria database).

```
data_PrPu2Pa
_chemical_formula_sum 'Pr1 Pu2 Pa1'
_cell_length_a 3.3681
_cell_length_b 3.3681
_cell_length_c 9.5375
_cell_angle_alpha 90.00
_cell_angle_beta 90.00
_cell_angle_gamma 90.00
_symmetry_space_group_name_H-M 'P 1'
_symmetry_Int_Tables_number 1
loop_
_symmetry_equiv_pos_as_xyz
'x,y,z'
loop_
_atom_site_label
_atom_site_type_symbol
_atom_site_fract_x
_atom_site_fract_y
_atom_site_fract_z
_atom_site_occupancy
Pr1 Pr 0.5000 0.5000 0.5000 1
Pa1 Pa 0.5000 0.5000 0.0000 1
Pu1 Pu 0.0000 0.0000 0.7828 1
Pu2 Pu 0.0000 0.0000 0.2172 1
```



Which structure wins on stability? b wins.



a | # PrPaRh

A relaxed structure of PrPaRh (PBE, the Alexandria database).

```
data_PrPaRh
_chemical_formula_sum 'Pr4 Pa4 Rh4'
_cell_length_a 6.3439
_cell_length_b 7.3693
_cell_length_c 6.6957
_cell_angle_alpha 92.36
_cell_angle_beta 90.00
_cell_angle_gamma 90.00
_symmetry_space_group_name_H-M 'P 1'
_symmetry_Int_Tables_number 1
loop_
_symmetry_equiv_pos_as_xyz
'x,y,z'
loop_
_atom_site_label
_atom_site_type_symbol
_atom_site_fract_x
_atom_site_fract_y
_atom_site_fract_z
_atom_site_occupancy
Rh1 Rh 0.5007 0.2211 0.6888 1
Rh2 Rh 0.0007 0.7789 0.8112 1
Rh3 Rh 0.4993 0.7789 0.3112 1
Rh4 Rh 0.9993 0.2211 0.1888 1
Pa1 Pa 0.7775 0.9993 0.4998 1
Pa2 Pa 0.7225 0.9993 0.9998 1
Pa3 Pa 0.2225 0.0007 0.5002 1
Pa4 Pa 0.2775 0.0007 0.0002 1
Pr1 Pr 0.0011 0.6213 0.2537 1
Pr2 Pr 0.4989 0.6213 0.7537 1
Pr3 Pr 0.9989 0.3787 0.7463 1
Pr4 Pr 0.5011 0.3787 0.2463 1
```



b | # PrPaRh

A relaxed structure of PrPaRh (PBE, the Alexandria database).

```
data_PrPaRh
_chemical_formula_sum 'Pr1 Pa1 Rh1'
_cell_length_a 4.5768
_cell_length_b 4.5165
_cell_length_c 4.5165
_cell_angle_alpha 120.00
_cell_angle_beta 90.00
_cell_angle_gamma 90.00
_symmetry_space_group_name_H-M 'P 1'
_symmetry_Int_Tables_number 1
loop_
_symmetry_equiv_pos_as_xyz
'x,y,z'
loop_
_atom_site_label
_atom_site_type_symbol
_atom_site_fract_x
_atom_site_fract_y
_atom_site_fract_z
_atom_site_occupancy
Pr1 Pr 0.6667 0.6667 0.3333 1
Pa1 Pa 0.1666 0.3333 0.6667 1
Rh1 Rh 0.1667 0.0000 0.0000 1
```



Which structure wins on stability? a wins.



a | # PrPaS3

A relaxed structure of PrPaS3 (PBE, the Alexandria database).

```
data_PrPaS3
_chemical_formula_sum 'Pr4 Pa4 S12'
_cell_length_a 3.9667
_cell_length_b 7.4543
_cell_length_c 15.5905
_cell_angle_alpha 90.00
_cell_angle_beta 90.00
_cell_angle_gamma 90.00
_symmetry_space_group_name_H-M 'P 1'
_symmetry_Int_Tables_number 1
loop_
_symmetry_equiv_pos_as_xyz
'x,y,z'
loop_
_atom_site_label
_atom_site_type_symbol
_atom_site_fract_x
_atom_site_fract_y
_atom_site_fract_z
_atom_site_occupancy
Pr1 Pr 0.7500 0.8927 0.7973 1
Pr2 Pr 0.2500 0.1073 0.2027 1
Pr3 Pr 0.7500 0.3927 0.7027 1
Pr4 Pr 0.2500 0.6073 0.2973 1
Pa1 Pa 0.2500 0.2585 0.9588 1
Pa2 Pa 0.2500 0.7585 0.5412 1
Pa3 Pa 0.7500 0.2415 0.4588 1
Pa4 Pa 0.7500 0.7415 0.0412 1
S1 S 0.2500 0.3750 0.5660 1
S2 S 0.7500 0.8260 0.2163 1
S3 S 0.7500 0.4920 0.9016 1
S4 S 0.7500 0.9920 0.5984 1
S5 S 0.7500 0.6250 0.4340 1
S6 S 0.2500 0.0080 0.4016 1
S7 S 0.2500 0.8750 0.9340 1
S8 S 0.7500 0.3260 0.2837 1
S9 S 0.2500 0.6740 0.7163 1
S10 S 0.2500 0.1740 0.7837 1
S11 S 0.7500 0.1250 0.0660 1
S12 S 0.2500 0.5080 0.0984 1
```



b | # PrPaS3

A relaxed structure of PrPaS3 (PBE, the Alexandria database).

```
data_PrPaS3
_chemical_formula_sum 'Pr2 Pa2 S6'
_cell_length_a 3.8636
_cell_length_b 6.8278
_cell_length_c 9.6698
_cell_angle_alpha 90.00
_cell_angle_beta 90.00
_cell_angle_gamma 106.43
_symmetry_space_group_name_H-M 'P 1'
_symmetry_Int_Tables_number 1
loop_
_symmetry_equiv_pos_as_xyz
'x,y,z'
loop_
_atom_site_label
_atom_site_type_symbol
_atom_site_fract_x
_atom_site_fract_y
_atom_site_fract_z
_atom_site_occupancy
Pr1 Pr 0.2457 0.4915 0.2500 1
Pr2 Pr 0.7543 0.5085 0.7500 1
Pa1 Pa 0.0000 0.0000 0.0000 1
Pa2 Pa 0.0000 0.0000 0.5000 1
S1 S 0.6403 0.2807 0.4303 1
S2 S 0.3597 0.7193 0.5697 1
S3 S 0.3597 0.7193 0.9303 1
S4 S 0.6403 0.2807 0.0697 1
S5 S 0.9086 0.8176 0.2500 1
S6 S 0.0914 0.1824 0.7500 1
```



Which structure wins on stability? a wins.



a | # PrPa2S6

A relaxed structure of PrPa2S6 (PBE, the Alexandria database).

```
data_PrPa2S6
_chemical_formula_sum 'Pr1 Pa2 S6'
_cell_length_a 5.1806
_cell_length_b 7.2787
_cell_length_c 7.9317
_cell_angle_alpha 72.68
_cell_angle_beta 70.94
_cell_angle_gamma 69.15
_symmetry_space_group_name_H-M 'P 1'
_symmetry_Int_Tables_number 1
loop_
_symmetry_equiv_pos_as_xyz
'x,y,z'
loop_
_atom_site_label
_atom_site_type_symbol
_atom_site_fract_x
_atom_site_fract_y
_atom_site_fract_z
_atom_site_occupancy
Pr1 Pr 0.0000 0.5000 0.5000 1
Pa1 Pa 0.1833 0.7417 0.8917 1
Pa2 Pa 0.8167 0.2583 0.1083 1
S1 S 0.7401 0.6397 0.8801 1
S2 S 0.2599 0.3603 0.1199 1
S3 S 0.9659 0.8572 0.2109 1
S4 S 0.3652 0.7074 0.5622 1
S5 S 0.0341 0.1428 0.7891 1
S6 S 0.6348 0.2926 0.4378 1
```



b | # PrPa2S6

A relaxed structure of PrPa2S6 (PBE, the Alexandria database).

```
data_PrPa2S6
_chemical_formula_sum 'Pr2 Pa4 S12'
_cell_length_a 7.1528
_cell_length_b 8.6608
_cell_length_c 8.6608
_cell_angle_alpha 77.86
_cell_angle_beta 70.21
_cell_angle_gamma 70.21
_symmetry_space_group_name_H-M 'P 1'
_symmetry_Int_Tables_number 1
loop_
_symmetry_equiv_pos_as_xyz
'x,y,z'
loop_
_atom_site_label
_atom_site_type_symbol
_atom_site_fract_x
_atom_site_fract_y
_atom_site_fract_z
_atom_site_occupancy
Pr1 Pr 0.2500 0.3291 0.6709 1
Pr2 Pr 0.7500 0.6709 0.3291 1
Pa1 Pa 0.9106 0.8455 0.6903 1
Pa2 Pa 0.5894 0.3097 0.1545 1
Pa3 Pa 0.0894 0.1545 0.3097 1
Pa4 Pa 0.4106 0.6903 0.8455 1
S1 S 0.3209 0.6684 0.5773 1
S2 S 0.1791 0.4227 0.3316 1
S3 S 0.6791 0.3316 0.4227 1
S4 S 0.8209 0.5773 0.6684 1
S5 S 0.9591 0.8925 0.3657 1
S6 S 0.5409 0.6343 0.1075 1
S7 S 0.0409 0.1075 0.6343 1
S8 S 0.4591 0.3657 0.8925 1
S9 S 0.0020 0.7543 0.9797 1
S10 S 0.4980 0.0203 0.2457 1
S11 S 0.9980 0.2457 0.0203 1
S12 S 0.5020 0.9797 0.7543 1
```



Which structure wins on stability? b wins.